! PBE Ac5Sc2Ge5, relaxed; values from VASP
! Energy of formation from the pure elements ... -0.60 eV per atom
! Total energy ... -5.2883 eV/atom
! Space group ... C2/m, No. 12
&SYSTEM
  ibrav = 0, nat = 12, ntyp = 3
/
ATOMIC_SPECIES
Ac 227.00 Ac.upf
Sc 44.96 Sc.upf
Ge 72.64 Ge.upf
CELL_PARAMETERS angstrom
7.2974 -2.2239 0.0000
7.2974 2.2239 0.0000
-3.7410 0.0000 11.8087
ATOMIC_POSITIONS crystal
Ac 0.0000 0.0000 0.0000
Ac 0.1583 0.1583 0.5493
Ac 0.2487 0.2487 0.8567
Ac 0.7513 0.7513 0.1433
Ac 0.8417 0.8417 0.4507
Sc 0.4581 0.4581 0.7050
Sc 0.5419 0.5419 0.2950
Ge 0.1647 0.1647 0.2925
Ge 0.3924 0.3924 0.1010
Ge 0.5000 0.5000 0.5000
Ge 0.6076 0.6076 0.8990
Ge 0.8353 0.8353 0.7075

! PBE Rb3CeU3S8, relaxed; values from VASP
! Total energy ... -6.5437 eV/atom
! Formation energy without anion corrections ... -1.50 eV per atom
! Space group ... R-3m, No. 166
&SYSTEM
  ibrav = 0, nat = 15, ntyp = 4
/
ATOMIC_SPECIES
Rb 85.47 Rb.upf
Ce 140.12 Ce.upf
U 238.03 U.upf
S 32.06 S.upf
CELL_PARAMETERS angstrom
4.0724 2.3512 7.8269
-4.0724 2.3512 7.8269
0.0000 -4.7024 7.8269
ATOMIC_POSITIONS crystal
Rb 0.0000 0.5000 0.5000
Rb 0.5000 0.0000 0.5000
Rb 0.5000 0.5000 0.0000
Ce 0.5000 0.5000 0.5000
U 0.0000 0.0000 0.5000
U 0.0000 0.5000 0.0000
U 0.5000 0.0000 0.0000
S 0.2221 0.7336 0.7336
S 0.2303 0.2303 0.2303
S 0.2664 0.2664 0.7779
S 0.2664 0.7779 0.2664
S 0.7336 0.2221 0.7336
S 0.7336 0.7336 0.2221
S 0.7697 0.7697 0.7697
S 0.7779 0.2664 0.2664

! PBE VGa3Ge, relaxed; values from VASP
! Energy of formation from the pure elements ... 0.82 eV per atom
! Total energy ... -3.7437 eV/atom
! Polymorph energy (0 for the lowest one) ... 295.9 meV/atom
! Space group ... Pm-3m, No. 221
&SYSTEM
  ibrav = 0, nat = 5, ntyp = 3
/
ATOMIC_SPECIES
V 50.94 V.upf
Ga 69.72 Ga.upf
Ge 72.64 Ge.upf
CELL_PARAMETERS angstrom
4.9021 0.0000 0.0000
0.0000 4.9021 0.0000
0.0000 0.0000 4.9021
ATOMIC_POSITIONS crystal
V 0.0000 0.0000 0.0000
Ga 0.0000 0.5000 0.5000
Ga 0.5000 0.0000 0.5000
Ga 0.5000 0.5000 0.0000
Ge 0.5000 0.5000 0.5000

! PBE Pr6AsPt2Br3, relaxed; values from VASP
! Total energy ... -5.4699 eV/atom
! Formation energy without anion corrections ... -1.27 eV per atom
! Space group ... C2/m, No. 12
&SYSTEM
  ibrav = 0, nat = 12, ntyp = 4
/
ATOMIC_SPECIES
Pr 140.91 Pr.upf
As 74.92 As.upf
Pt 195.08 Pt.upf
Br 79.90 Br.upf
CELL_PARAMETERS angstrom
3.7529 -6.4861 0.0000
3.7529 6.4861 0.0000
-2.5033 0.0000 7.4914
ATOMIC_POSITIONS crystal
Pr 0.0843 0.4303 0.7946
Pr 0.2220 0.2220 0.2040
Pr 0.4303 0.0843 0.7946
Pr 0.5697 0.9157 0.2054
Pr 0.7780 0.7780 0.7960
Pr 0.9157 0.5697 0.2054
As 0.5000 0.5000 0.0000
Pt 0.1673 0.8327 0.0000
Pt 0.8327 0.1673 0.0000
Br 0.0000 0.0000 0.5000
Br 0.3411 0.6589 0.5000
Br 0.6589 0.3411 0.5000

! PBE Ba2FeRe, relaxed; values from VASP
! Energy of formation from the pure elements ... 1.38 eV per atom
! Total energy ... -4.8072 eV/atom
! Polymorph energy (0 for the lowest one) ... 949.0 meV/atom
! Space group ... Pmmm, No. 47
&SYSTEM
  ibrav = 0, nat = 4, ntyp = 3
/
ATOMIC_SPECIES
Ba 137.33 Ba.upf
Fe 55.84 Fe.upf
Re 186.21 Re.upf
CELL_PARAMETERS angstrom
3.1572 0.0000 0.0000
0.0000 3.7847 0.0000
0.0000 0.0000 9.2945
ATOMIC_POSITIONS crystal
Ba 0.0000 0.0000 0.2391
Ba 0.0000 0.0000 0.7609
Fe 0.5000 0.5000 0.5000
Re 0.5000 0.5000 0.0000

! PBE PaZnSnRh, relaxed; values from VASP
! Energy of formation from the pure elements ... -0.42 eV per atom
! Total energy ... -5.9487 eV/atom
! Space group ... F-43m, No. 216
&SYSTEM
  ibrav = 0, nat = 4, ntyp = 4
/
ATOMIC_SPECIES
Pa 231.04 Pa.upf
Zn 65.41 Zn.upf
Sn 118.71 Sn.upf
Rh 102.91 Rh.upf
CELL_PARAMETERS angstrom
0.0000 3.4007 3.4007
3.4007 0.0000 3.4007
3.4007 3.4007 0.0000
ATOMIC_POSITIONS crystal
Pa 0.0000 0.0000 0.0000
Zn 0.7500 0.7500 0.7500
Sn 0.5000 0.5000 0.5000
Rh 0.2500 0.2500 0.2500

! PBE Tb7CCl12, relaxed; values from VASP
! Total energy ... -5.1038 eV/atom
! Formation energy without anion corrections ... -1.91 eV per atom
! Space group ... R-3, No. 148
&SYSTEM
  ibrav = 0, nat = 20, ntyp = 3
/
ATOMIC_SPECIES
Tb 158.93 Tb.upf
C 12.01 C.upf
Cl 35.45 Cl.upf
CELL_PARAMETERS angstrom
6.9463 4.0105 3.1295
-6.9463 4.0105 3.1295
0.0000 -8.0209 3.1295
ATOMIC_POSITIONS crystal
Tb 0.0000 0.0000 0.0000
Tb 0.1876 0.4688 0.3929
Tb 0.3929 0.1876 0.4688
Tb 0.4688 0.3929 0.1876
Tb 0.5312 0.6071 0.8124
Tb 0.6071 0.8124 0.5312
Tb 0.8124 0.5312 0.6071
C 0.5000 0.5000 0.5000
Cl 0.0314 0.1149 0.3432
Cl 0.1149 0.3432 0.0314
Cl 0.1878 0.5779 0.7241
Cl 0.2759 0.8122 0.4221
Cl 0.3432 0.0314 0.1149
Cl 0.4221 0.2759 0.8122
Cl 0.5779 0.7241 0.1878
Cl 0.6568 0.9686 0.8851
Cl 0.7241 0.1878 0.5779
Cl 0.8122 0.4221 0.2759
Cl 0.8851 0.6568 0.9686
Cl 0.9686 0.8851 0.6568

! PBE ZnIr2Os, relaxed; values from VASP
! Energy of formation from the pure elements ... 0.06 eV per atom
! Total energy ... -7.4922 eV/atom
! Space group ... R3m, No. 160
&SYSTEM
  ibrav = 0, nat = 4, ntyp = 3
/
ATOMIC_SPECIES
Zn 65.41 Zn.upf
Ir 192.22 Ir.upf
Os 190.23 Os.upf
CELL_PARAMETERS angstrom
1.3756 0.7942 8.8006
-1.3756 0.7942 8.8006
0.0000 -1.5884 8.8006
ATOMIC_POSITIONS crystal
Zn 0.0000 0.0000 0.0000
Ir 0.5011 0.5011 0.5011
Ir 0.7489 0.7489 0.7489
Os 0.2490 0.2490 0.2490